DyYAlIn: optimized geometry, PBE-GGA.

Properties
Formation energy, eV/atom: -0.44
Total moment, μB per cell: 0.000
Final energy, hartree per atom: -0.177
DOS(E_F), states/eV/atom: 0.4935
Excess energy over the best structure of this formula in the dataset, eV per formula unit: 0.00

a = 3.617 Å, b = 3.617 Å, c = 7.661 Å
α = 90.00°, β = 90.00°, γ = 90.00°
Space group P4mm (No. 99)
Inequivalent atoms, fractional coordinates:
Dy1 0.000 0.000 0.000 (multiplicity 1)
Y1 0.000 0.000 0.477 (multiplicity 1)
Al1 0.500 0.500 0.238 (multiplicity 1)
In1 0.500 0.500 0.739 (multiplicity 1)